Entry 1:
Entry from Alexandria: a relaxed structure of Pr6NdIn3 (GGA-PBE).

Cell and atoms, written as POSCAR:
```
Pr6NdIn3
1.0
-2.0829 7.5838 -1.1922
-9.2137 -2.6019 -0.4541
2.4727 2.0971 9.0198
Pr In Nd
12 6 2
Direct
0.7913 0.4535 0.0750 Pr
0.2913 0.0750 0.4535 Pr
0.1296 0.6959 0.3041 Pr
0.2963 0.9506 0.0494 Pr
0.1051 0.2999 0.2320 Pr
0.2913 0.5465 0.9250 Pr
0.6051 0.7001 0.7680 Pr
0.6051 0.2320 0.2999 Pr
0.1051 0.7680 0.7001 Pr
0.7963 0.0494 0.9506 Pr
0.7913 0.9250 0.5465 Pr
0.6296 0.3041 0.6959 Pr
0.8138 0.5548 0.4452 In
0.3138 0.4452 0.5548 In
0.9317 0.7275 0.9939 In
0.4317 0.2725 0.0061 In
0.9317 0.0061 0.2725 In
0.4317 0.9939 0.7275 In
0.5895 0.7843 0.2157 Nd
0.0895 0.2157 0.7843 Nd
```


Entry 2:
Entry from Alexandria: a relaxed structure of PrNd8In2 (GGA-PBE).

Cell and atoms, written as POSCAR:
```
PrNd8In2
1.0
-4.8341 -2.3154 2.6605
-2.1526 -0.0176 -8.7700
6.7834 -5.1518 2.9985
Nd In Pr
8 2 1
Direct
0.5000 0.7818 0.2182 Nd
0.2920 0.5877 0.5877 Nd
0.5000 0.2182 0.7818 Nd
0.1323 0.0933 0.3265 Nd
0.8677 0.6735 0.9067 Nd
0.7080 0.4123 0.4123 Nd
0.1323 0.3265 0.0933 Nd
0.8677 0.9067 0.6735 Nd
0.0000 0.6931 0.3069 In
0.0000 0.3069 0.6931 In
0.5000 0.0000 0.0000 Pr
```


Entry 3:
Entry from Alexandria: a relaxed structure of Pr5NdIn2 (GGA-PBE).

Output
The value obtained for the energy above the most stable polymorph in this dataset is 0 meV/atom.

Cell and atoms, written as POSCAR:
```
Pr5NdIn2
1.0
5.0191 0.0000 0.0000
0.0000 7.0944 0.0000
0.0000 0.0000 14.1911
Pr Nd In
10 2 4
Direct
0.5000 0.2501 0.8753 Pr
0.0000 0.4994 0.7504 Pr
0.0000 0.9994 0.7496 Pr
0.0000 0.5000 0.5000 Pr
0.5000 0.7501 0.6247 Pr
0.0000 0.0000 0.0000 Pr
0.0000 0.0006 0.2504 Pr
0.0000 0.5006 0.2496 Pr
0.5000 0.7499 0.1247 Pr
0.5000 0.2499 0.3753 Pr
0.0000 0.5000 0.0000 Nd
0.0000 0.0000 0.5000 Nd
0.5000 0.7491 0.8753 In
0.5000 0.7509 0.3753 In
0.5000 0.2491 0.6247 In
0.5000 0.2509 0.1247 In
```


Entry 4:
Entry from Alexandria: a relaxed structure of PrNd2In4 (GGA-PBE).

Output
The value obtained for the energy above the most stable polymorph in this dataset is 119 meV/atom.

Cell and atoms, written as POSCAR:
```
PrNd2In4
1.0
5.1425 0.0001 -1.6393
-0.5241 5.1142 -1.6446
-0.1355 -0.1579 8.4609
In Nd Pr
4 2 1
Direct
0.3844 0.8850 0.7689 In
0.1156 0.6158 0.2311 In
0.8844 0.3842 0.7689 In
0.6156 0.1150 0.2311 In
0.7447 0.7445 0.4894 Nd
0.2553 0.2555 0.5106 Nd
0.0000 0.0000 0.0000 Pr
```


Entry 5:
Entry from Alexandria: a relaxed structure of PrNd3In (GGA-PBE).

Output
The value obtained for the energy above the most stable polymorph in this dataset is 148 meV/atom.

Cell and atoms, written as POSCAR:
```
PrNd3In
1.0
9.6399 0.0000 0.0000
4.8199 8.3484 0.0000
4.8199 2.7828 4.2034
Nd In Pr
6 2 2
Direct
0.9161 0.2500 0.2500 Nd
0.2500 0.5839 0.2500 Nd
0.7500 0.4161 0.7500 Nd
0.0839 0.7500 0.7500 Nd
0.4161 0.0839 0.7500 Nd
0.5839 0.9161 0.2500 Nd
0.7500 0.7500 0.7500 In
0.2500 0.2500 0.2500 In
0.5000 0.5000 0.5000 Pr
0.0000 0.0000 0.0000 Pr
```


Entry 6:
Entry from Alexandria: a relaxed structure of Pr3Nd2In4 (GGA-PBE).

Cell and atoms, written as POSCAR:
```
Pr3Nd2In4
1.0
5.4775 0.0000 0.0000
-2.7388 4.7241 0.4202
0.0000 -0.9246 10.4757
In Nd Pr
4 2 3
Direct
0.9997 0.9995 0.6514 In
0.6669 0.3338 0.1008 In
0.3331 0.6662 0.8992 In
0.0003 0.0005 0.3486 In
0.6664 0.3328 0.7813 Nd
0.3336 0.6672 0.2187 Nd
0.0000 0.0000 0.0000 Pr
0.6669 0.3337 0.4225 Pr
0.3331 0.6663 0.5775 Pr
```


Entry 7:
Entry from Alexandria: a relaxed structure of PrNd4In (GGA-PBE).

Output
The value obtained for the energy above the most stable polymorph in this dataset is 0 meV/atom.

Cell and atoms, written as POSCAR:
```
PrNd4In
1.0
-3.0253 -2.1005 0.1700
1.1793 -1.4411 3.1821
-7.0125 10.7027 7.4458
Nd In Pr
4 1 1
Direct
0.5000 0.5000 0.8217 Nd
0.0000 0.0000 0.3558 Nd
0.0000 0.0000 0.6442 Nd
0.5000 0.5000 0.1783 Nd
0.5000 0.5000 0.5000 In
0.0000 0.0000 0.0000 Pr
```


Entry 8:
Entry from Alexandria: a relaxed structure of Pr5Nd6In (GGA-PBE).

Cell and atoms, written as POSCAR:
```
Pr5Nd6In
1.0
4.9124 -0.0066 -1.4286
-3.3316 8.7851 -2.3450
0.1505 -0.4606 9.6717
In Pr Nd
1 5 6
Direct
0.0000 0.0000 0.0000 In
0.5000 0.1667 0.8333 Pr
0.0000 0.3362 0.6638 Pr
0.5000 0.8333 0.1667 Pr
0.5000 0.5000 0.5000 Pr
0.0000 0.6638 0.3362 Pr
0.7431 0.2428 0.2428 Nd
0.7566 0.5937 0.9198 Nd
0.7566 0.9198 0.5937 Nd
0.2434 0.4063 0.0802 Nd
0.2434 0.0802 0.4063 Nd
0.2569 0.7572 0.7572 Nd
```


Entry 9:
Entry from Alexandria: a relaxed structure of PrNdIn2 (GGA-PBE).

Cell and atoms, written as POSCAR:
```
PrNdIn2
1.0
3.8731 0.0000 0.0000
1.9365 3.3542 0.0000
1.9365 1.1181 9.8492
Pr In Nd
1 2 1
Direct
0.5000 0.5000 0.5000 Pr
0.2506 0.2506 0.2484 In
0.7494 0.7494 0.7516 In
0.0000 0.0000 0.0000 Nd
```


Entry 10:
Entry from Alexandria: a relaxed structure of PrNdIn4 (GGA-PBE).

Output
The value obtained for the energy above the most stable polymorph in this dataset is 152 meV/atom.

Cell and atoms, written as POSCAR:
```
PrNdIn4
1.0
3.6570 -0.3690 -0.1114
0.5568 3.6320 -0.1114
0.4119 0.3190 12.3871
In Nd Pr
4 1 1
Direct
0.4997 0.4997 0.8232 In
0.5003 0.5003 0.1768 In
0.0004 0.0005 0.3207 In
0.9996 0.9995 0.6793 In
0.0000 0.0000 0.0000 Nd
0.5000 0.5000 0.5000 Pr
```


Entry 11:
Entry from Alexandria: a relaxed structure of Pr8Nd2In3 (GGA-PBE).

Cell and atoms, written as POSCAR:
```
Pr8Nd2In3
1.0
-5.8684 1.1620 -2.8624
-1.1936 -2.2168 -6.1353
-6.5787 -10.5691 1.5144
Pr Nd In
8 2 3
Direct
0.7216 0.7216 0.8352 Pr
0.2169 0.7197 0.3438 Pr
0.2803 0.2803 0.6562 Pr
0.7831 0.2803 0.6562 Pr
0.2784 0.2784 0.1648 Pr
0.2803 0.7831 0.6562 Pr
0.7197 0.2169 0.3438 Pr
0.7197 0.7197 0.3438 Pr
0.3644 0.3644 0.9067 Nd
0.6356 0.6356 0.0933 Nd
0.0000 0.0000 0.0000 In
0.8088 0.8088 0.5737 In
0.1912 0.1912 0.4263 In
```


Entry 12:
Entry from Alexandria: a relaxed structure of Pr5Nd2In (GGA-PBE).

Cell and atoms, written as POSCAR:
```
Pr5Nd2In
1.0
4.9775 0.0000 -0.9652
-0.1872 4.9740 -0.9652
-0.4305 -0.4470 11.0965
Nd Pr In
2 5 1
Direct
0.7482 0.7482 0.4964 Nd
0.2518 0.2518 0.5036 Nd
0.6210 0.1210 0.2419 Pr
0.1210 0.6210 0.2419 Pr
0.3790 0.8790 0.7581 Pr
0.8790 0.3790 0.7581 Pr
0.5000 0.5000 0.0000 Pr
0.0000 0.0000 0.0000 In
```


| no. | calculated formation energy (meV/atom) | D(E_F) (states/eV per atom) |
| --- | --- | --- |
| 1 | -160 | 1.258 |
| 2 | -67 | 1.281 |
| 3 | -277 | 1.499 |
| 4 | -305 | 0.875 |
| 5 | -43 | 1.548 |
| 6 | -412 | 1.136 |
| 7 | -143 | 1.313 |
| 8 | -61 | 1.262 |
| 9 | -309 | 0.544 |
| 10 | -328 | 0.701 |
| 11 | 88 | 1.435 |
| 12 | -115 | 1.279 |